LiSc2GeH PBE optimized geometry; total DFT energy (no corrections) = -5.043 eV per atom; theoretical density = 3.80 g/cm3
1.0
4.3617 0.0000 0.0000
0.0000 4.3617 0.0000
0.0000 0.0000 3.9215
Li Sc Ge H
1 2 1 1
Direct
0.0000 0.0000 0.0000 Li
0.0000 0.5000 0.5000 Sc
0.5000 0.0000 0.5000 Sc
0.5000 0.5000 0.0000 Ge
0.0000 0.0000 0.5000 H


HfCrReOs2 PBE optimized geometry; ΔH_f (0 K) = 2.726 eV/atom; theoretical density = 12.63 g/cm3
1.0
4.7118 0.0000 0.0000
0.0000 4.7118 0.0000
0.0000 0.0000 4.7219
Hf Cr Re Os
1 1 1 2
Direct
0.0000 0.0000 0.0000 Hf
0.5000 0.5000 0.5000 Cr
0.0000 0.0000 0.5000 Re
0.0000 0.5000 0.0000 Os
0.5000 0.0000 0.0000 Os


LiScGe PBE optimized geometry; ΔH_f (0 K) = -0.075 eV/atom; theoretical density = 3.20 g/cm3
1.0
0.0000 3.1837 3.1837
3.1837 0.0000 3.1837
3.1837 3.1837 0.0000
Li Sc Ge
1 1 1
Direct
0.0000 0.0000 0.0000 Li
0.2500 0.2500 0.2500 Sc
0.5000 0.5000 0.5000 Ge


Ba2Zn6PdPt PBE optimized geometry; ΔH_f (0 K) = -0.383 eV/atom; theoretical density = 6.64 g/cm3
1.0
-3.4935 3.5064 4.9431
3.4935 -3.5064 4.9431
3.4935 3.5064 -4.9431
Ba Zn Pd Pt
2 6 1 1
Direct
0.2500 0.2500 0.0000 Ba
0.7500 0.7500 0.0000 Ba
0.2505 0.2492 0.4997 Zn
0.2505 0.7508 0.0013 Zn
0.2506 0.7506 0.5000 Zn
0.7494 0.2494 0.5000 Zn
0.7495 0.2492 0.9987 Zn
0.7495 0.7508 0.5003 Zn
0.5000 0.0000 0.5000 Pd
0.0000 0.5000 0.5000 Pt


LaCeRu PBE optimized geometry; ΔE to the lowest computed polymorph = 0.00 eV/f.u.; ΔH_f (0 K) = -0.260 eV/atom; theoretical density = 7.53 g/cm3
1.0
3.9171 0.0000 0.0000
0.0033 6.0203 0.0000
1.9582 0.9557 7.1051
La Ce Ru
2 2 2
Direct
0.0814 0.2740 0.3385 La
0.9186 0.7260 0.6615 La
0.3340 0.1969 0.8309 Ce
0.6660 0.8031 0.1691 Ce
0.2662 0.6863 0.9676 Ru
0.7338 0.3137 0.0324 Ru


SrMnGa2Hg PBE optimized geometry; ΔH_f (0 K) = -0.177 eV/atom; theoretical density = 6.97 g/cm3
1.0
4.7256 0.0000 0.0000
0.0000 4.7256 0.0000
0.0000 0.0000 5.1467
Sr Mn Ga Hg
1 1 2 1
Direct
0.0000 0.0000 0.0000 Sr
0.5000 0.5000 0.5000 Mn
0.0000 0.5000 0.5000 Ga
0.5000 0.0000 0.5000 Ga
0.5000 0.5000 0.0000 Hg